No. 1
Material: Ca2GaGe3
Method: DFT, GGA-PBE
State: relaxed

Calculated values
Fermi-level density of states, states/eV/cell: 2.0
Space-group type: Cm
Total magnetic moment, μB per atom: 0.000
Calculated formation energy, eV per atom: -0.431
Energy relative to the lowest polymorph listed for this composition, eV per formula unit: 0.00

Lattice parameters (Å, degrees): 5.9897 5.9897 7.0654 124.90 124.90 41.58
Positions (direct):
Ca1 0.0000 0.0000 0.0000
Ca2 0.1283 0.1283 0.6306
Ga1 0.7252 0.7252 0.4072
Ge1 0.3993 0.3993 0.5990
Ge2 0.4079 0.4079 0.2230
Ge3 0.7227 0.7227 0.0208

No. 2
Material: Ca3GaGe3
Method: DFT, GGA-PBE
State: relaxed

Calculated values
Fermi-level density of states, states/eV/cell: 3.1
Space-group type: Imm2
Total magnetic moment, μB per atom: 0.000
Calculated formation energy, eV per atom: -0.577
Energy relative to the lowest polymorph listed for this composition, eV per formula unit: 0.00

Lattice parameters (Å, degrees): 9.6984 9.6984 9.6984 155.68 152.97 36.67
Positions (direct):
Ca1 0.0000 0.0000 0.0000
Ca2 0.1868 0.6868 0.5000
Ca3 0.3667 0.3667 0.0000
Ga1 0.6155 0.1155 0.5000
Ge1 0.5367 0.5367 0.0000
Ge2 0.7505 0.2505 0.5000
Ge3 0.8347 0.8347 0.0000

No. 3
Material: Ca3GaGe
Method: DFT, GGA-PBE
State: relaxed

Calculated values
Fermi-level density of states, states/eV/cell: 4.5
Space-group type: Pm-3m
Total magnetic moment, μB per atom: 0.000
Calculated formation energy, eV per atom: -0.131
Energy relative to the lowest polymorph listed for this composition, eV per formula unit: 1.44

Lattice parameters (Å, degrees): 5.6491 5.6491 5.6491 90.00 90.00 90.00
Positions (direct):
Ca1 0.0000 0.0000 0.5000
Ca2 0.0000 0.5000 0.0000
Ca3 0.5000 0.0000 0.0000
Ga1 0.5000 0.5000 0.5000
Ge1 0.0000 0.0000 0.0000

No. 4
Material: Ca2GaGe3
Method: DFT, GGA-PBE
State: relaxed

Calculated values
Fermi-level density of states, states/eV/cell: 3.7
Space-group type: Fmmm
Total magnetic moment, μB per atom: 0.000
Calculated formation energy, eV per atom: -0.423
Energy relative to the lowest polymorph listed for this composition, eV per formula unit: 0.04

Lattice parameters (Å, degrees): 9.1173 9.0314 5.9211 71.75 70.17 38.08
Positions (direct):
Ca1 0.2433 0.7567 0.2433
Ca2 0.2500 0.2500 0.2500
Ca3 0.7500 0.7500 0.7500
Ca4 0.7567 0.2433 0.7567
Ga1 0.3329 0.3329 0.6671
Ga2 0.6671 0.6671 0.3329
Ge1 0.1680 0.6679 0.8320
Ge2 0.1739 0.1739 0.8261
Ge3 0.3321 0.8320 0.6679
Ge4 0.6679 0.1680 0.3321
Ge5 0.8261 0.8261 0.1739
Ge6 0.8320 0.3321 0.1680

No. 5
Material: Ca3Ga2Ge4
Method: DFT, GGA-PBE
State: relaxed

Calculated values
Fermi-level density of states, states/eV/cell: 1.7
Space-group type: C2/m
Total magnetic moment, μB per atom: 0.000
Calculated formation energy, eV per atom: -0.482

Lattice parameters (Å, degrees): 6.3116 6.3116 8.8152 108.90 108.90 38.24
Positions (direct):
Ca1 0.0000 0.0000 0.0000
Ca2 0.3859 0.3859 0.3104
Ca3 0.6141 0.6141 0.6896
Ga1 0.2985 0.2985 0.6546
Ga2 0.7015 0.7015 0.3454
Ge1 0.0921 0.0921 0.3892
Ge2 0.2944 0.2944 0.9505
Ge3 0.7056 0.7056 0.0495
Ge4 0.9079 0.9079 0.6108

No. 6
Material: Ca3Ga4Ge4
Method: DFT, GGA-PBE
State: relaxed

Calculated values
Fermi-level density of states, states/eV/cell: 3.6
Space-group type: Immm
Total magnetic moment, μB per atom: 0.000
Calculated formation energy, eV per atom: -0.370
Energy relative to the lowest polymorph listed for this composition, eV per formula unit: 0.20

Lattice parameters (Å, degrees): 8.5646 8.5646 8.5646 149.99 128.69 60.59
Positions (direct):
Ca1 0.0000 0.0000 0.0000
Ca2 0.3781 0.8781 0.5000
Ca3 0.6219 0.1219 0.5000
Ga1 0.0321 0.3292 0.7029
Ga2 0.3737 0.6708 0.7029
Ga3 0.6263 0.3292 0.2971
Ga4 0.9679 0.6708 0.2971
Ge1 0.2155 0.2155 0.0000
Ge2 0.3182 0.5000 0.8182
Ge3 0.6818 0.5000 0.1818
Ge4 0.7845 0.7845 0.0000

No. 7
Material: CaGa2Ge
Method: DFT, GGA-PBE
State: relaxed

Calculated values
Fermi-level density of states, states/eV/cell: 1.9
Space-group type: I-42d
Total magnetic moment, μB per atom: 0.000
Calculated formation energy, eV per atom: -0.248

Lattice parameters (Å, degrees): 6.3033 6.3033 6.3033 102.26 102.26 125.11
Positions (direct):
Ca1 0.0000 0.0000 0.0000
Ca2 0.7500 0.2500 0.5000
Ga1 0.1828 0.6250 0.0578
Ga2 0.3750 0.4328 0.5578
Ga3 0.5672 0.1250 0.9422
Ga4 0.8750 0.8172 0.4422
Ge1 0.2500 0.7500 0.5000
Ge2 0.5000 0.5000 0.0000

No. 8
Material: Ca3Ga2Ge3
Method: DFT, GGA-PBE
State: relaxed

Calculated values
Fermi-level density of states, states/eV/cell: 6.4
Space-group type: Cmcm
Total magnetic moment, μB per atom: 0.000
Calculated formation energy, eV per atom: -0.494

Lattice parameters (Å, degrees): 6.1353 6.1353 15.1283 90.00 90.00 138.68
Positions (direct):
Ca1 0.0518 0.9482 0.7500
Ca2 0.3471 0.6529 0.6096
Ca3 0.3471 0.6529 0.8904
Ca4 0.6529 0.3471 0.1096
Ca5 0.6529 0.3471 0.3904
Ca6 0.9482 0.0518 0.2500
Ga1 0.3766 0.6234 0.1247
Ga2 0.3766 0.6234 0.3753
Ga3 0.6234 0.3766 0.6247
Ga4 0.6234 0.3766 0.8753
Ge1 0.1001 0.8999 0.5339
Ge2 0.1001 0.8999 0.9661
Ge3 0.2223 0.7777 0.2500
Ge4 0.7777 0.2223 0.7500
Ge5 0.8999 0.1001 0.0339
Ge6 0.8999 0.1001 0.4661

No. 9
Material: Ca8Ga2Ge
Method: DFT, GGA-PBE
State: relaxed

Calculated values
Fermi-level density of states, states/eV/cell: 7.1
Space-group type: C2/m
Total magnetic moment, μB per atom: 0.000
Calculated formation energy, eV per atom: -0.336
Energy relative to the lowest polymorph listed for this composition, eV per formula unit: 0.00

Lattice parameters (Å, degrees): 9.6246 9.6246 7.3637 109.07 109.07 31.74
Positions (direct):
Ca1 0.0274 0.0274 0.2879
Ca2 0.2042 0.2042 0.8061
Ca3 0.3346 0.3346 0.5432
Ca4 0.4039 0.4039 0.0585
Ca5 0.5961 0.5961 0.9415
Ca6 0.6654 0.6654 0.4568
Ca7 0.7958 0.7958 0.1939
Ca8 0.9726 0.9726 0.7121
Ga1 0.1800 0.1800 0.1959
Ga2 0.8200 0.8200 0.8041
Ge1 0.5000 0.5000 0.5000

No. 10
Material: Ca2Ga2Ge
Method: DFT, GGA-PBE
State: relaxed

Calculated values
Fermi-level density of states, states/eV/cell: 4.1
Space-group type: P4/mbm
Total magnetic moment, μB per atom: 0.000
Calculated formation energy, eV per atom: -0.426
Energy relative to the lowest polymorph listed for this composition, eV per formula unit: 0.29

Lattice parameters (Å, degrees): 7.0891 7.0891 4.6812 90.00 90.00 90.00
Positions (direct):
Ca1 0.1762 0.3238 0.0000
Ca2 0.3238 0.8238 0.0000
Ca3 0.6762 0.1762 0.0000
Ca4 0.8238 0.6762 0.0000
Ga1 0.1283 0.6283 0.5000
Ga2 0.3717 0.1283 0.5000
Ga3 0.6283 0.8717 0.5000
Ga4 0.8717 0.3717 0.5000
Ge1 0.0000 0.0000 0.5000
Ge2 0.5000 0.5000 0.5000

No. 11
Material: CaGa2Ge
Method: DFT, GGA-PBE
State: relaxed

Calculated values
Fermi-level density of states, states/eV/cell: 2.0
Space-group type: P4/mmm
Total magnetic moment, μB per atom: 0.000
Calculated formation energy, eV per atom: -0.306

Lattice parameters (Å, degrees): 4.2857 4.2857 4.4497 90.00 90.00 90.00
Positions (direct):
Ca1 0.0000 0.0000 0.0000
Ga1 0.0000 0.5000 0.5000
Ga2 0.5000 0.0000 0.5000
Ge1 0.5000 0.5000 0.0000

No. 12
Material: Ca8Ga2Ge
Method: DFT, GGA-PBE
State: relaxed

Calculated values
Fermi-level density of states, states/eV/cell: 6.2
Space-group type: Immm
Total magnetic moment, μB per atom: 0.000
Calculated formation energy, eV per atom: -0.254
Energy relative to the lowest polymorph listed for this composition, eV per formula unit: 0.90

Lattice parameters (Å, degrees): 9.1114 9.1114 9.1114 147.02 126.20 64.57
Positions (direct):
Ca1 0.1211 0.3413 0.7798
Ca2 0.1468 0.1468 0.0000
Ca3 0.3079 0.0000 0.3079
Ca4 0.4385 0.6587 0.7798
Ca5 0.5615 0.3413 0.2202
Ca6 0.6921 0.0000 0.6921
Ca7 0.8532 0.8532 0.0000
Ca8 0.8789 0.6587 0.2202
Ga1 0.3119 0.8119 0.5000
Ga2 0.6881 0.1881 0.5000
Ge1 0.0000 0.5000 0.5000

No. 13
Material: Ca8GaGe2
Method: DFT, GGA-PBE
State: relaxed

Calculated values
Fermi-level density of states, states/eV/cell: 8.1
Space-group type: Immm
Total magnetic moment, μB per atom: 0.000
Calculated formation energy, eV per atom: -0.289
Energy relative to the lowest polymorph listed for this composition, eV per formula unit: 0.89

Lattice parameters (Å, degrees): 9.0531 9.0531 9.0531 147.42 125.66 64.81
Positions (direct):
Ca1 0.1255 0.3431 0.7824
Ca2 0.1450 0.1450 0.0000
Ca3 0.3115 0.0000 0.3115
Ca4 0.4393 0.6569 0.7824
Ca5 0.5607 0.3431 0.2176
Ca6 0.6885 0.0000 0.6885
Ca7 0.8550 0.8550 0.0000
Ca8 0.8745 0.6569 0.2176
Ga1 0.0000 0.5000 0.5000
Ge1 0.3090 0.8090 0.5000
Ge2 0.6910 0.1910 0.5000

No. 14
Material: CaGa2Ge
Method: DFT, GGA-PBE
State: relaxed

Calculated values
Fermi-level density of states, states/eV/cell: 1.5
Space-group type: R-3m
Total magnetic moment, μB per atom: 0.000
Calculated formation energy, eV per atom: -0.244

Lattice parameters (Å, degrees): 6.1251 6.1251 6.1251 41.39 41.39 41.39
Positions (direct):
Ca1 0.0000 0.0000 0.0000
Ga1 0.2256 0.2256 0.2256
Ga2 0.7744 0.7744 0.7744
Ge1 0.5000 0.5000 0.5000

No. 15
Material: CaGa2Ge
Method: DFT, GGA-PBE
State: relaxed

Calculated values
Fermi-level density of states, states/eV/cell: 2.9
Space-group type: Cmcm
Total magnetic moment, μB per atom: 0.000
Calculated formation energy, eV per atom: -0.334

Lattice parameters (Å, degrees): 9.0430 9.0430 4.7294 90.00 90.00 152.84
Positions (direct):
Ca1 0.1027 0.8973 0.7500
Ca2 0.8973 0.1027 0.2500
Ga1 0.2574 0.7426 0.2500
Ga2 0.4721 0.5279 0.7500
Ga3 0.5279 0.4721 0.2500
Ga4 0.7426 0.2574 0.7500
Ge1 0.3288 0.6712 0.7500
Ge2 0.6712 0.3288 0.2500

No. 16
Material: Ca3Ga9Ge2
Method: DFT, GGA-PBE
State: relaxed

Calculated values
Fermi-level density of states, states/eV/cell: 5.0
Space-group type: Immm
Total magnetic moment, μB per atom: 0.000
Calculated formation energy, eV per atom: -0.327

Lattice parameters (Å, degrees): 8.5167 8.5167 8.5167 149.88 107.72 80.25
Positions (direct):
Ca1 0.0000 0.0000 0.0000
Ca2 0.3162 0.3162 0.0000
Ca3 0.6838 0.6838 0.0000
Ga1 0.0377 0.6637 0.3741
Ga2 0.1228 0.8515 0.2713
Ga3 0.2896 0.6637 0.6259
Ga4 0.4197 0.1485 0.2713
Ga5 0.5000 0.0000 0.5000
Ga6 0.5803 0.8515 0.7287
Ga7 0.7104 0.3363 0.3741
Ga8 0.8772 0.1485 0.7287
Ga9 0.9623 0.3363 0.6259
Ge1 0.2853 0.5000 0.7853
Ge2 0.7147 0.5000 0.2147

No. 17
Material: CaGaGeH
Method: DFT, GGA-PBE
State: relaxed

Calculated values
Space-group type: P3m1
Total magnetic moment, μB per atom: 0.000
DFT total energy, eV/atom: -3.69

Lattice parameters (Å, degrees): 4.1506 4.1506 4.7639 90.00 90.00 120.00
Positions (direct):
Ca1 0.0000 0.0000 0.0000
Ga1 0.6667 0.3333 0.5647
Ge1 0.3333 0.6667 0.4249
H1 0.6667 0.3333 0.9314

No. 18
Material: CaGaHg2Ge
Method: DFT, GGA-PBE
State: relaxed

Calculated values
Fermi-level density of states, states/eV/cell: 4.8
Space-group type: P4/mmm
Total magnetic moment, μB per atom: 0.000
Calculated formation energy, eV per atom: 0.517

Lattice parameters (Å, degrees): 5.8083 5.8083 5.5656 90.00 90.00 90.00
Positions (direct):
Ca1 0.0000 0.0000 0.0000
Ga1 0.5000 0.5000 0.5000
Hg1 0.0000 0.5000 0.0000
Hg2 0.5000 0.0000 0.0000
Ge1 0.0000 0.0000 0.5000

No. 19
Material: CaGaHgGe
Method: DFT, GGA-PBE
State: relaxed

Calculated values
Fermi-level density of states, states/eV/cell: 3.7
Space-group type: F-43m
Total magnetic moment, μB per atom: 0.000
Calculated formation energy, eV per atom: -0.202

Lattice parameters (Å, degrees): 5.0668 5.0668 5.0668 60.00 60.00 60.00
Positions (direct):
Ca1 0.0000 0.0000 0.0000
Ga1 0.5000 0.5000 0.5000
Hg1 0.2500 0.2500 0.2500
Ge1 0.7500 0.7500 0.7500

No. 20
Material: CaHoGaGe
Method: DFT, GGA-PBE
State: relaxed

Calculated values
Fermi-level density of states, states/eV/cell: 2.4
Space-group type: Amm2
Total magnetic moment, μB per atom: 0.000
Calculated formation energy, eV per atom: -0.658
Energy relative to the lowest polymorph listed for this composition, eV per formula unit: 0.00

Lattice parameters (Å, degrees): 4.0492 5.8631 5.8631 43.89 90.00 90.00
Positions (direct):
Ca1 0.0000 0.0000 0.0000
Ho1 0.5000 0.2774 0.2774
Ga1 0.5000 0.5653 0.5653
Ge1 0.0000 0.7202 0.7202